No. 1
The following is a DFT calculation (GGA-PBE) of an optimized crystal structure of SrMn5.

Computed properties:
Space group = Amm2 (38)
Mass density = 5.37 Mg/m³
E_form = 0.487 eV per atom

abc: 3.8562 3.8519 15.0822
angles: 90.00 90.00 90.00
Positions (direct):
Sr 0.0000 0.0000 0.0000
Sr 0.0000 0.5000 0.5000
Mn 0.0000 0.0000 0.2957
Mn 0.0000 0.0000 0.6955
Mn 0.0000 0.5000 0.1955
Mn 0.0000 0.5000 0.7957
Mn 0.5000 0.0000 0.1884
Mn 0.5000 0.0000 0.3809
Mn 0.5000 0.0000 0.7955
Mn 0.5000 0.5000 0.2955
Mn 0.5000 0.5000 0.6884
Mn 0.5000 0.5000 0.8809

=====

No. 2
The following is a DFT calculation (GGA-PBE) of an optimized crystal structure of ZnRe2Ni.

Computed properties:
Space group = I-42d (122)
Mass density = 13.65 Mg/m³
E_form = 0.840 eV per atom

abc: 6.9796 6.9796 4.9613
angles: 90.00 90.00 90.00
Positions (direct):
Zn 0.0000 0.0000 0.0000
Zn 0.0000 0.5000 0.2500
Zn 0.5000 0.0000 0.7500
Zn 0.5000 0.5000 0.5000
Re 0.2167 0.2500 0.6250
Re 0.2500 0.7167 0.8750
Re 0.2500 0.7833 0.3750
Re 0.2833 0.2500 0.1250
Re 0.7167 0.7500 0.1250
Re 0.7500 0.2167 0.3750
Re 0.7500 0.2833 0.8750
Re 0.7833 0.7500 0.6250
Ni 0.0000 0.0000 0.5000
Ni 0.0000 0.5000 0.7500
Ni 0.5000 0.0000 0.2500
Ni 0.5000 0.5000 0.0000

=====

No. 3
The following is a DFT calculation (GGA-PBE) of an optimized crystal structure of SnSb.

Computed properties:
Space group = P6/mmm (191)
Mass density = 6.94 Mg/m³
Formation energy from raw total energies = 1.5 kcal/mol of atoms

abc: 3.2837 3.2837 6.1643
angles: 90.00 90.00 120.00
Positions (direct):
Sn 0.0000 0.0000 0.0000
Sb 0.0000 0.0000 0.5000

=====

No. 4
The following is a DFT calculation (GGA-PBE) of an optimized crystal structure of CaCrPd.

Computed properties:
Energy above the most stable polymorph in this dataset = 109.6 kJ/mol of atoms
Space group = P6_3/mmc (194)
Mass density = 3.04 Mg/m³
E_form = 1.047 eV per atom

abc: 5.1340 5.1340 9.4896
angles: 90.00 90.00 120.00
Positions (direct):
Ca 0.3333 0.6667 0.2500
Ca 0.6667 0.3333 0.7500
Cr 0.0000 0.0000 0.2500
Cr 0.0000 0.0000 0.7500
Pd 0.0000 0.0000 0.0000
Pd 0.0000 0.0000 0.5000

=====

No. 5
The following is a DFT calculation (GGA-PBE) of an optimized crystal structure of Rb2Zn3RhF12.

Computed properties:
Space group = R-3m (166)
Mass density = 3.90 Mg/m³
Formation energy from raw total energies = -51.4 kcal/mol of atoms

abc: 7.6490 7.6490 7.6490
angles: 57.39 57.39 57.39
Positions (direct):
Rb 0.1060 0.1060 0.1060
Rb 0.8940 0.8940 0.8940
Zn 0.0000 0.5000 0.5000
Zn 0.5000 0.0000 0.5000
Zn 0.5000 0.5000 0.0000
Rh 0.5000 0.5000 0.5000
F 0.1762 0.1762 0.5761
F 0.1762 0.5761 0.1762
F 0.1854 0.5740 0.5740
F 0.4239 0.8238 0.8238
F 0.4260 0.4260 0.8146
F 0.4260 0.8146 0.4260
F 0.5740 0.1854 0.5740
F 0.5740 0.5740 0.1854
F 0.5761 0.1762 0.1762
F 0.8146 0.4260 0.4260
F 0.8238 0.4239 0.8238
F 0.8238 0.8238 0.4239

=====

No. 6
The following is a DFT calculation (GGA-PBE) of an optimized crystal structure of NaCuSi.

Computed properties:
Space group = Pm (6)
Mass density = 3.30 Mg/m³
Formation energy from raw total energies = -0.8 kcal/mol of atoms

abc: 4.6101 4.0590 6.1914
angles: 90.00 94.52 90.00
Positions (direct):
Na 0.0000 0.0000 0.0000
Na 0.4941 0.5000 0.2479
Cu 0.5973 0.0000 0.5968
Cu 0.8944 0.5000 0.6517
Si 0.0966 0.0000 0.5041
Si 0.3951 0.5000 0.7437

=====

No. 7
The following is a DFT calculation (GGA-PBE) of an optimized crystal structure of Pm3TmC8.

Computed properties:
Space group = I-42m (121)
Mass density = 5.91 Mg/m³
E_form = 0.140 eV per atom

abc: 6.3480 6.3480 6.3480
angles: 110.94 110.94 106.58
Positions (direct):
Pm 0.0000 0.0000 0.0000
Pm 0.2500 0.7500 0.5000
Pm 0.7500 0.2500 0.5000
Tm 0.5000 0.5000 0.0000
C 0.1120 0.1120 0.4713
C 0.1213 0.1213 0.6812
C 0.3592 0.8880 0.0000
C 0.4401 0.4401 0.3188
C 0.5599 0.8787 0.0000
C 0.6408 0.6408 0.5287
C 0.8787 0.5599 0.0000
C 0.8880 0.3592 0.0000

=====

No. 8
The following is a DFT calculation (GGA-PBE) of an optimized crystal structure of DyPt4.

Computed properties:
Space group = I-43m (217)
Mass density = 16.34 Mg/m³
E_form = -0.590 eV per atom

abc: 7.9265 7.9265 7.9265
angles: 109.47 109.47 109.47
Positions (direct):
Dy 0.0000 0.0000 0.5578
Dy 0.0000 0.5578 0.0000
Dy 0.4422 0.4422 0.4422
Dy 0.5578 0.0000 0.0000
Pt 0.0000 0.0000 0.2160
Pt 0.0000 0.2160 0.0000
Pt 0.0000 0.3469 0.3469
Pt 0.0000 0.6531 0.6531
Pt 0.2160 0.0000 0.0000
Pt 0.2500 0.5000 0.7500
Pt 0.2500 0.7500 0.5000
Pt 0.3469 0.0000 0.3469
Pt 0.3469 0.3469 0.0000
Pt 0.5000 0.2500 0.7500
Pt 0.5000 0.7500 0.2500
Pt 0.6531 0.0000 0.6531
Pt 0.6531 0.6531 0.0000
Pt 0.7500 0.2500 0.5000
Pt 0.7500 0.5000 0.2500
Pt 0.7840 0.7840 0.7840

=====

Number 1: energy -7.43 eV per atom. Number 2: energy -7.15 eV per atom. Number 3: energy -4.00 eV per atom. Number 4: energy -4.56 eV per atom. Number 5: energy -4.21 eV per atom. Number 6: energy -3.65 eV per atom. Number 7: energy -7.57 eV per atom. Number 8: energy -6.34 eV per atom.